[1]
A plane-wave DFT calculation with PBE was carried out for LiMnAu6 after structural relaxation.

Results
Relative energy among the computed polymorphs (eV/atom): 0.261
Total magnetization (Bohr magnetons per cell): 4.614
Space group: R-3m
Calculated total energy (eV per atom): -3.77

Lattice parameters (Å, degrees): 5.479 5.479 5.479 85.80 85.80 85.80
Atoms (fractional coordinates):
Li  0.000  0.000  0.000
Mn  0.500  0.500  0.500
Au  0.166  0.166  0.546
Au  0.166  0.546  0.166
Au  0.454  0.834  0.834
Au  0.546  0.166  0.166
Au  0.834  0.454  0.834
Au  0.834  0.834  0.454



[2]
A plane-wave DFT calculation with PBE was carried out for TbGa7Tc2 after structural relaxation.

Results
Total magnetization (Bohr magnetons per cell): 0.001
Space group: Cmmm
Calculated total energy (eV per atom): -4.73

Lattice parameters (Å, degrees): 6.874 6.874 4.744 90.00 90.00 99.92
Atoms (fractional coordinates):
Tb  0.000  0.000  0.000
Ga  0.101  0.355  0.500
Ga  0.298  0.702  0.000
Ga  0.355  0.101  0.500
Ga  0.500  0.500  0.500
Ga  0.645  0.899  0.500
Ga  0.702  0.298  0.000
Ga  0.899  0.645  0.500
Tc  0.264  0.736  0.500
Tc  0.736  0.264  0.500



[3]
A plane-wave DFT calculation with PBE was carried out for Ac3TiSn5 after structural relaxation.

Results
Total magnetization (Bohr magnetons per cell): 0.228
Space group: P6_3/mcm
Calculated total energy (eV per atom): -5.02

Lattice parameters (Å, degrees): 9.912 9.912 6.404 90.00 90.00 120.00
Atoms (fractional coordinates):
Ac  0.000  0.386  0.250
Ac  0.000  0.614  0.750
Ac  0.386  0.000  0.250
Ac  0.386  0.386  0.750
Ac  0.614  0.000  0.750
Ac  0.614  0.614  0.250
Ti  0.000  0.000  0.000
Ti  0.000  0.000  0.500
Sn  0.000  0.242  0.750
Sn  0.000  0.758  0.250
Sn  0.242  0.000  0.750
Sn  0.242  0.242  0.250
Sn  0.333  0.667  0.000
Sn  0.333  0.667  0.500
Sn  0.667  0.333  0.000
Sn  0.667  0.333  0.500
Sn  0.758  0.000  0.250
Sn  0.758  0.758  0.750



Number 1: calculated formation energy 0.07 eV/atom. Number 2: calculated formation energy -0.08 eV/atom. Number 3: calculated formation energy -0.55 eV/atom.